No. 1
Material: Ba5Sn2S8
Method: DFT, SCAN
State: PBEsol geometry

## Properties
As for the symmetry: Cmce, No. 64. As for the raw formation energy: -1.72 eV/atom.

a = 11.790 Å, b = 13.220 Å, c = 11.876 Å
α = 90.00°, β = 90.00°, γ = 116.48°
Atoms (fractional coordinates):
Ba 0.599 0.190 0.336
Ba 0.591 0.190 0.664
Ba 0.091 0.190 0.836
Ba 0.099 0.190 0.164
Ba 0.401 0.810 0.664
Ba 0.409 0.810 0.336
Ba 0.909 0.810 0.164
Ba 0.901 0.810 0.836
Ba 0.934 0.193 0.504
Ba 0.259 0.193 0.496
Ba 0.759 0.193 0.004
Ba 0.434 0.193 0.996
Ba 0.066 0.807 0.496
Ba 0.741 0.807 0.504
Ba 0.241 0.807 0.996
Ba 0.566 0.807 0.004
Ba 0.998 0.500 0.750
Ba 0.502 0.500 0.250
Ba 0.002 0.500 0.250
Ba 0.498 0.500 0.750
Sn 0.243 0.000 0.745
Sn 0.757 0.000 0.255
Sn 0.257 0.000 0.245
Sn 0.743 0.000 0.755
Sn 0.250 0.500 0.000
Sn 0.750 0.500 0.500
Sn 0.750 0.500 0.000
Sn 0.250 0.500 0.500
S 0.039 0.000 0.647
S 0.961 0.000 0.353
S 0.461 0.000 0.147
S 0.539 0.000 0.853
S 0.190 0.372 0.346
S 0.182 0.372 0.654
S 0.682 0.372 0.846
S 0.690 0.372 0.154
S 0.810 0.628 0.654
S 0.818 0.628 0.346
S 0.318 0.628 0.154
S 0.310 0.628 0.846
S 0.032 0.372 0.002
S 0.340 0.372 0.998
S 0.840 0.372 0.502
S 0.532 0.372 0.498
S 0.968 0.628 0.998
S 0.660 0.628 0.002
S 0.160 0.628 0.498
S 0.468 0.628 0.502
S 0.130 0.771 0.748
S 0.641 0.771 0.252
S 0.141 0.771 0.248
S 0.630 0.771 0.752
S 0.870 0.229 0.252
S 0.359 0.229 0.748
S 0.859 0.229 0.752
S 0.370 0.229 0.248
S 0.154 0.000 0.955
S 0.846 0.000 0.045
S 0.346 0.000 0.455
S 0.654 0.000 0.545

No. 2
Material: TmSnRu2
Method: DFT, SCAN
State: PBEsol geometry

## Properties
The calculation puts the formation enthalpy at 0 K at -0.469 eV per atom. As for the symmetry: Fm-3m, No. 225.

a = 4.571 Å, b = 4.571 Å, c = 4.571 Å
α = 60.00°, β = 60.00°, γ = 60.00°
Atoms (fractional coordinates):
Ru 0.750 0.750 0.750
Ru 0.250 0.250 0.250
Tm 0.500 0.500 0.500
Sn 0.000 0.000 0.000

No. 3
Material: CaTiTc2S
Method: DFT, SCAN
State: PBEsol geometry

## Properties
As for the symmetry: P4/mmm, No. 123. As for the raw formation energy: 0.51 eV/atom.

a = 4.516 Å, b = 4.516 Å, c = 4.874 Å
α = 90.00°, β = 90.00°, γ = 90.00°
Last column: magnetic moment on the atom in μB.
Atoms (fractional coordinates):
S 0.000 0.000 0.500  0.12
Ca 0.500 0.500 0.500  0.02
Tc 0.000 0.500 0.000  1.73
Tc 0.500 0.000 0.000  1.73
Ti 0.000 0.000 0.000  -0.29

No. 4
Material: CaMg2Zr
Method: DFT, SCAN
State: PBEsol geometry

## Properties
The calculation puts the formation enthalpy at 0 K at 0.233 eV per atom. As for the symmetry: I-4m2, No. 119.

a = 4.566 Å, b = 4.566 Å, c = 5.770 Å
α = 113.31°, β = 113.31°, γ = 90.00°
Last column: magnetic moment on the atom in μB.
Atoms (fractional coordinates):
Ca 0.250 0.750 0.500  0.17
Mg 0.000 0.000 0.000  0.02
Mg 0.750 0.250 0.500  0.02
Zr 0.500 0.500 0.000  1.29

No. 5
Material: Y2PS
Method: DFT, SCAN
State: PBEsol geometry

## Properties
As for the symmetry: R-3m, No. 166. As for the raw formation energy: -2.14 eV/atom.

a = 3.917 Å, b = 3.917 Å, c = 6.778 Å
α = 73.20°, β = 73.20°, γ = 60.00°
Atoms (fractional coordinates):
Y 0.248 0.248 0.257
Y 0.752 0.752 0.743
P 0.500 0.500 0.500
S 0.000 0.000 0.000

No. 6
Material: Na2LiRu
Method: DFT, SCAN
State: PBEsol geometry

## Properties
The calculation puts the formation enthalpy at 0 K at 0.914 eV per atom. As for the symmetry: I-42d, No. 122.

a = 5.402 Å, b = 6.029 Å, c = 6.029 Å
α = 78.42°, β = 63.38°, γ = 63.38°
Last column: magnetic moment on the atom in μB.
Atoms (fractional coordinates):
Ru 0.750 0.500 0.500  1.65
Ru 0.000 0.000 0.000  1.65
Li 0.250 0.500 0.500  -0.02
Li 0.500 0.000 0.000  -0.02
Na 0.142 0.983 0.483  -0.02
Na 0.608 0.017 0.517  -0.02
Na 0.375 0.483 0.017  -0.02
Na 0.875 0.517 0.983  -0.02

No. 7
Material: MgTlBr2
Method: DFT, SCAN
State: PBEsol geometry

## Properties
As for the symmetry: Fm-3m, No. 225. As for the raw formation energy: -0.61 eV/atom.

a = 5.354 Å, b = 5.354 Å, c = 5.354 Å
α = 60.00°, β = 60.00°, γ = 60.00°
Last column: magnetic moment on the atom in μB.
Atoms (fractional coordinates):
Br 0.250 0.250 0.250  -0.05
Br 0.750 0.750 0.750  -0.05
Mg 0.500 0.500 0.500  -0.12
Tl 0.000 0.000 0.000  -0.01

No. 8
Material: SrMnGe2O6
Method: DFT, SCAN
State: PBEsol geometry

## Properties
As for the symmetry: C2/c, No. 15. As for the raw formation energy: -2.24 eV/atom.

a = 5.508 Å, b = 6.984 Å, c = 6.984 Å
α = 83.90°, β = 78.97°, γ = 78.97°
Last column: magnetic moment on the atom in μB.
Atoms (fractional coordinates):
Sr 0.250 0.191 0.809  0.00
Sr 0.750 0.809 0.191  0.00
Mn 0.250 0.594 0.406  4.54
Mn 0.750 0.406 0.594  4.54
Ge 0.285 0.685 0.878  0.03
Ge 0.715 0.315 0.122  0.03
Ge 0.215 0.122 0.315  0.03
Ge 0.785 0.878 0.685  0.03
O 0.480 0.167 0.122  0.01
O 0.520 0.833 0.878  0.01
O 0.020 0.878 0.833  0.01
O 0.980 0.122 0.167  0.01
O 0.365 0.522 0.695  0.05
O 0.635 0.478 0.305  0.05
O 0.135 0.305 0.478  0.05
O 0.865 0.695 0.522  0.05
O 0.183 0.600 0.116  0.03
O 0.817 0.400 0.884  0.03
O 0.317 0.884 0.400  0.03
O 0.683 0.116 0.600  0.03